(1)
# PaCu2NiO8 | the Alexandria database | PBE with a Hubbard U | relaxed
data_PaCu2NiO8
_cell_length_a 5.798
_cell_length_b 5.798
_cell_length_c 5.798
_cell_angle_alpha 108.61
_cell_angle_beta 108.61
_cell_angle_gamma 111.20
_space_group_name_H-M_alt 'P 1'
_space_group_IT_number 1
_space_group_name_Hall 'P 1'
loop_
_atom_site_label
_atom_site_fract_x
_atom_site_fract_y
_atom_site_fract_z
_atom_site_occupancy
Pa1 0.000 0.000 0.000 1
Cu1 0.250 0.750 0.500 1
Cu2 0.500 0.500 0.000 1
Ni1 0.750 0.250 0.500 1
O1 0.047 0.366 0.320 1
O2 0.047 0.727 0.680 1
O3 0.107 0.293 0.814 1
O4 0.273 0.953 0.320 1
O5 0.478 0.293 0.186 1
O6 0.634 0.953 0.680 1
O7 0.707 0.522 0.814 1
O8 0.707 0.893 0.186 1
# Magnetic moment   0.9 μB per formula unit
# Final energy   -5.962 eV/atom
# Symmetry   No. 119
# Volume   149.93 Å³ per cell

(2)
# PaCu3Ni4O12 | the Alexandria database | PBE with a Hubbard U | relaxed
data_PaCu3Ni4O12
_cell_length_a 6.353
_cell_length_b 6.353
_cell_length_c 6.353
_cell_angle_alpha 109.47
_cell_angle_beta 109.47
_cell_angle_gamma 109.47
_space_group_name_H-M_alt 'P 1'
_space_group_IT_number 1
_space_group_name_Hall 'P 1'
loop_
_atom_site_label
_atom_site_fract_x
_atom_site_fract_y
_atom_site_fract_z
_atom_site_occupancy
Pa1 0.000 0.000 0.000 1
Cu1 0.000 0.500 0.500 1
Cu2 0.500 0.000 0.500 1
Cu3 0.500 0.500 0.000 1
Ni1 0.000 0.000 0.500 1
Ni2 0.000 0.500 0.000 1
Ni3 0.500 0.000 0.000 1
Ni4 0.500 0.500 0.500 1
O1 0.138 0.301 0.837 1
O2 0.163 0.465 0.301 1
O3 0.163 0.862 0.699 1
O4 0.301 0.163 0.465 1
O5 0.301 0.837 0.138 1
O6 0.465 0.301 0.163 1
O7 0.535 0.699 0.837 1
O8 0.699 0.163 0.862 1
O9 0.699 0.837 0.535 1
O10 0.837 0.138 0.301 1
O11 0.837 0.535 0.699 1
O12 0.862 0.699 0.163 1
# Magnetic moment   6.0 μB per formula unit
# Final energy   -5.747 eV/atom
# Symmetry   No. 204
# Volume   197.36 Å³ per cell

(3)
# PaCuNiO5 | the Alexandria database | PBE with a Hubbard U | relaxed
data_PaCuNiO5
_cell_length_a 5.651
_cell_length_b 5.651
_cell_length_c 7.781
_cell_angle_alpha 103.70
_cell_angle_beta 103.70
_cell_angle_gamma 109.04
_space_group_name_H-M_alt 'P 1'
_space_group_IT_number 1
_space_group_name_Hall 'P 1'
loop_
_atom_site_label
_atom_site_fract_x
_atom_site_fract_y
_atom_site_fract_z
_atom_site_occupancy
Pa1 0.000 0.000 0.000 1
Pa2 0.000 0.000 0.500 1
Cu1 0.319 0.681 0.750 1
Cu2 0.681 0.319 0.250 1
Ni1 0.347 0.653 0.250 1
Ni2 0.653 0.347 0.750 1
O1 0.002 0.658 0.800 1
O2 0.126 0.874 0.250 1
O3 0.318 0.381 0.582 1
O4 0.342 0.998 0.700 1
O5 0.381 0.318 0.082 1
O6 0.619 0.682 0.918 1
O7 0.658 0.002 0.300 1
O8 0.682 0.619 0.418 1
O9 0.874 0.126 0.750 1
O10 0.998 0.342 0.200 1
# Magnetic moment   0.1 μB per formula unit
# Final energy   -6.838 eV/atom
# Symmetry   No. 15
# Volume   214.44 Å³ per cell

(4)
# Pa2CuNiO8 | the Alexandria database | PBE with a Hubbard U | relaxed
data_Pa2CuNiO8
_cell_length_a 5.298
_cell_length_b 5.298
_cell_length_c 5.847
_cell_angle_alpha 90.00
_cell_angle_beta 90.00
_cell_angle_gamma 120.00
_space_group_name_H-M_alt 'P 1'
_space_group_IT_number 1
_space_group_name_Hall 'P 1'
loop_
_atom_site_label
_atom_site_fract_x
_atom_site_fract_y
_atom_site_fract_z
_atom_site_occupancy
Pa1 0.333 0.667 0.358 1
Pa2 0.667 0.333 0.642 1
Cu1 0.000 0.000 0.500 1
Ni1 0.000 0.000 0.000 1
O1 0.167 0.334 0.689 1
O2 0.167 0.833 0.689 1
O3 0.333 0.667 0.045 1
O4 0.334 0.167 0.311 1
O5 0.666 0.833 0.689 1
O6 0.667 0.333 0.955 1
O7 0.833 0.167 0.311 1
O8 0.833 0.666 0.311 1
# Magnetic moment   2.6 μB per formula unit
# Final energy   -7.226 eV/atom
# Symmetry   No. 164
# Volume   142.14 Å³ per cell

(5)
# CuNiPb2O6 | the Alexandria database | PBE with a Hubbard U | relaxed
data_CuNiPb2O6
_cell_length_a 5.746
_cell_length_b 5.746
_cell_length_c 5.746
_cell_angle_alpha 56.83
_cell_angle_beta 56.83
_cell_angle_gamma 56.83
_space_group_name_H-M_alt 'P 1'
_space_group_IT_number 1
_space_group_name_Hall 'P 1'
loop_
_atom_site_label
_atom_site_fract_x
_atom_site_fract_y
_atom_site_fract_z
_atom_site_occupancy
Cu1 0.000 0.000 0.000 1
Ni1 0.502 0.502 0.502 1
Pb1 0.215 0.215 0.215 1
Pb2 0.716 0.716 0.716 1
O1 0.129 0.791 0.387 1
O2 0.292 0.630 0.885 1
O3 0.387 0.129 0.791 1
O4 0.630 0.885 0.292 1
O5 0.791 0.387 0.129 1
O6 0.885 0.292 0.630 1
# Magnetic moment   3.1 μB per formula unit
# Final energy   -5.171 eV/atom
# Symmetry   No. 146
# Volume   124.34 Å³ per cell

(6)
# CuNi2PdO4 | the Alexandria database | PBE with a Hubbard U | relaxed
data_CuNi2PdO4
_cell_length_a 5.791
_cell_length_b 5.791
_cell_length_c 6.359
_cell_angle_alpha 116.55
_cell_angle_beta 116.55
_cell_angle_gamma 86.54
_space_group_name_H-M_alt 'P 1'
_space_group_IT_number 1
_space_group_name_Hall 'P 1'
loop_
_atom_site_label
_atom_site_fract_x
_atom_site_fract_y
_atom_site_fract_z
_atom_site_occupancy
Cu1 0.000 0.500 0.000 1
Cu2 0.500 0.000 0.500 1
Ni1 0.000 0.000 0.000 1
Ni2 0.000 0.000 0.500 1
Ni3 0.000 0.500 0.500 1
Ni4 0.500 0.000 0.000 1
Pd1 0.500 0.500 0.000 1
Pd2 0.500 0.500 0.500 1
O1 0.173 0.664 0.393 1
O2 0.199 0.219 0.407 1
O3 0.219 0.199 0.907 1
O4 0.336 0.827 0.107 1
O5 0.664 0.173 0.893 1
O6 0.781 0.801 0.093 1
O7 0.801 0.781 0.593 1
O8 0.827 0.336 0.607 1
# Magnetic moment   2.9 μB per formula unit
# Final energy   -4.849 eV/atom
# Symmetry   No. 15
# Volume   168.05 Å³ per cell

(7)
# Pm2CuNiO5 | the Alexandria database | PBE with a Hubbard U | relaxed
data_Pm2CuNiO5
_cell_length_a 6.701
_cell_length_b 6.701
_cell_length_c 5.480
_cell_angle_alpha 90.00
_cell_angle_beta 90.00
_cell_angle_gamma 90.00
_space_group_name_H-M_alt 'P 1'
_space_group_IT_number 1
_space_group_name_Hall 'P 1'
loop_
_atom_site_label
_atom_site_fract_x
_atom_site_fract_y
_atom_site_fract_z
_atom_site_occupancy
Pm1 0.177 0.323 0.000 1
Pm2 0.323 0.823 0.000 1
Pm3 0.677 0.177 0.000 1
Pm4 0.823 0.677 0.000 1
Cu1 0.000 0.000 0.500 1
Cu2 0.500 0.500 0.500 1
Ni1 0.000 0.500 0.500 1
Ni2 0.500 0.000 0.500 1
O1 0.000 0.000 0.000 1
O2 0.131 0.631 0.259 1
O3 0.131 0.631 0.741 1
O4 0.369 0.131 0.259 1
O5 0.369 0.131 0.741 1
O6 0.500 0.500 0.000 1
O7 0.631 0.869 0.259 1
O8 0.631 0.869 0.741 1
O9 0.869 0.369 0.259 1
O10 0.869 0.369 0.741 1
# Magnetic moment   1.1 μB per formula unit
# Final energy   -6.413 eV/atom
# Symmetry   No. 127
# Volume   246.07 Å³ per cell

(8)
# Pr3Cu2NiO9 | the Alexandria database | PBE with a Hubbard U | relaxed
data_Pr3Cu2NiO9
_cell_length_a 5.439
_cell_length_b 5.439
_cell_length_c 6.666
_cell_angle_alpha 90.00
_cell_angle_beta 90.00
_cell_angle_gamma 120.00
_space_group_name_H-M_alt 'P 1'
_space_group_IT_number 1
_space_group_name_Hall 'P 1'
loop_
_atom_site_label
_atom_site_fract_x
_atom_site_fract_y
_atom_site_fract_z
_atom_site_occupancy
Pr1 0.000 0.000 0.000 1
Pr2 0.333 0.667 0.661 1
Pr3 0.667 0.333 0.339 1
Cu1 0.333 0.667 0.166 1
Cu2 0.667 0.333 0.834 1
Ni1 0.000 0.000 0.500 1
O1 0.000 0.500 0.000 1
O2 0.167 0.334 0.334 1
O3 0.167 0.833 0.334 1
O4 0.334 0.167 0.666 1
O5 0.500 0.000 0.000 1
O6 0.500 0.500 0.000 1
O7 0.666 0.833 0.334 1
O8 0.833 0.167 0.666 1
O9 0.833 0.666 0.666 1
# Magnetic moment   0.6 μB per formula unit
# Final energy   -6.570 eV/atom
# Symmetry   No. 164
# Volume   170.78 Å³ per cell

(9)
# CuNiPtO4 | the Alexandria database | PBE with a Hubbard U | relaxed
data_CuNiPtO4
_cell_length_a 6.082
_cell_length_b 6.082
_cell_length_c 6.082
_cell_angle_alpha 122.12
_cell_angle_beta 119.30
_cell_angle_gamma 88.79
_space_group_name_H-M_alt 'P 1'
_space_group_IT_number 1
_space_group_name_Hall 'P 1'
loop_
_atom_site_label
_atom_site_fract_x
_atom_site_fract_y
_atom_site_fract_z
_atom_site_occupancy
Cu1 0.397 0.147 0.250 1
Cu2 0.603 0.853 0.750 1
Ni1 0.000 0.000 0.500 1
Ni2 0.000 0.500 0.000 1
Pt1 0.000 0.500 0.500 1
Pt2 0.500 0.500 0.000 1
O1 0.210 0.733 0.477 1
O2 0.244 0.263 0.519 1
O3 0.244 0.267 0.977 1
O4 0.244 0.725 0.981 1
O5 0.756 0.275 0.019 1
O6 0.756 0.733 0.023 1
O7 0.756 0.737 0.481 1
O8 0.790 0.267 0.523 1
# Magnetic moment   1.0 μB per formula unit
# Final energy   -5.328 eV/atom
# Symmetry   No. 74
# Volume   157.23 Å³ per cell